1.
Computed, not measured: an optimized crystal structure of Rb2Cd3Pt2 at the PBE level of DFT.

## Properties
Its symmetry is C2/m. The value obtained for the energy of formation is -223.7 meV per atom. As for the crystal system: monoclinic. As for the total energy: -2.62 eV/atom.

Geometry as POSCAR:
```
Rb2Cd3Pt2
1.0
6.419 -2.375 0.000
6.419 2.375 0.000
-4.450 0.000 6.765
Rb Cd Pt
2 3 2
direct
0.142 0.142 0.275
0.858 0.858 0.725
0.331 0.331 0.071
0.500 0.500 0.500
0.669 0.669 0.929
0.109 0.109 0.697
0.891 0.891 0.303
```


2.
Computed, not measured: an optimized crystal structure of Rb3Cd2Pt4 at the PBE level of DFT.

## Properties
Its symmetry is C2/m. The value obtained for the energy of formation is -198.0 meV per atom. As for the crystal system: monoclinic. As for the total energy: -3.41 eV/atom.

Geometry as POSCAR:
```
Rb3Cd2Pt4
1.0
6.323 -2.326 0.000
6.323 2.326 0.000
-2.708 0.000 8.841
Rb Cd Pt
3 2 4
direct
0.000 0.000 0.000
0.366 0.366 0.634
0.634 0.634 0.366
0.339 0.339 0.232
0.661 0.661 0.768
0.078 0.078 0.627
0.230 0.230 0.922
0.770 0.770 0.078
0.922 0.922 0.373
```


3.
Computed, not measured: an optimized crystal structure of RbCd2SbPt at the PBE level of DFT.

## Properties
Its symmetry is P4/mmm. As for the crystal system: tetragonal. As for the formation energy without anion corrections: -190 meV per atom. As for the total energy: -2.78 eV/atom.

Geometry as POSCAR:
```
RbCd2SbPt
1.0
5.345 0.000 0.000
0.000 5.345 0.000
0.000 0.000 5.330
Rb Cd Sb Pt
1 2 1 1
direct
0.000 0.000 0.000
0.000 0.500 0.500
0.500 0.000 0.500
0.500 0.500 0.000
0.500 0.500 0.500
```


4.
Computed, not measured: an optimized crystal structure of RbCdSn2Pt at the PBE level of DFT.

## Properties
Its symmetry is P4/mmm. The value obtained for the energy of formation is 382.9 meV per atom. As for the crystal system: tetragonal. As for the total energy: -2.80 eV/atom.

Geometry as POSCAR:
```
RbCdSn2Pt
1.0
5.557 0.000 0.000
0.000 5.557 0.000
0.000 0.000 5.281
Rb Cd Sn Pt
1 1 2 1
direct
0.000 0.000 0.000
0.500 0.500 0.500
0.000 0.500 0.500
0.500 0.000 0.500
0.500 0.500 0.000
```


5.
Computed, not measured: an optimized crystal structure of RbCd2SnPt at the PBE level of DFT.

## Properties
Its symmetry is P4/mmm. The value obtained for the energy of formation is -216.3 meV per atom. As for the crystal system: tetragonal. As for the total energy: -2.78 eV/atom.

Geometry as POSCAR:
```
RbCd2SnPt
1.0
5.385 0.000 0.000
0.000 5.385 0.000
0.000 0.000 5.224
Rb Cd Sn Pt
1 2 1 1
direct
0.000 0.000 0.000
0.000 0.500 0.500
0.500 0.000 0.500
0.500 0.500 0.000
0.500 0.500 0.500
```


6.
Computed, not measured: an optimized crystal structure of RbSr2CdPt at the PBE level of DFT.

## Properties
Its symmetry is P4/mmm. The value obtained for the energy of formation is -322.2 meV per atom. As for the crystal system: tetragonal. As for the total energy: -2.58 eV/atom.

Geometry as POSCAR:
```
RbSr2CdPt
1.0
5.990 0.000 0.000
0.000 5.990 0.000
0.000 0.000 5.527
Rb Sr Cd Pt
1 2 1 1
direct
0.000 0.000 0.000
0.000 0.500 0.500
0.500 0.000 0.500
0.500 0.500 0.000
0.500 0.500 0.500
```


7.
Computed, not measured: an optimized crystal structure of RbSrCd2Pt at the PBE level of DFT.

## Properties
Its symmetry is P4/mmm. The value obtained for the energy of formation is -286.9 meV per atom. As for the crystal system: tetragonal. As for the total energy: -2.39 eV/atom.

Geometry as POSCAR:
```
RbSrCd2Pt
1.0
5.474 0.000 0.000
0.000 5.474 0.000
0.000 0.000 5.677
Rb Sr Cd Pt
1 1 2 1
direct
0.000 0.000 0.000
0.500 0.500 0.000
0.000 0.500 0.500
0.500 0.000 0.500
0.500 0.500 0.500
```


8.
Computed, not measured: an optimized crystal structure of Rb2TlCdPt at the PBE level of DFT.

## Properties
Its symmetry is P4/mmm. The value obtained for the energy of formation is 6.2 meV per atom. As for the crystal system: tetragonal. As for the total energy: -2.25 eV/atom.

Geometry as POSCAR:
```
Rb2TlCdPt
1.0
6.510 0.000 0.000
0.000 6.510 0.000
0.000 0.000 5.286
Rb Tl Cd Pt
2 1 1 1
direct
0.000 0.500 0.000
0.500 0.000 0.000
0.000 0.000 0.500
0.500 0.500 0.500
0.000 0.000 0.000
```